Record 1
# Er7CS5 (PBE-GGA, optimized geometry)
data_Er7CS5
_symmetry_space_group_name_H-M 'C m c 21'
_symmetry_Int_Tables_number 36
_cell_length_a 3.700
_cell_length_b 12.664
_cell_length_c 23.254
_cell_angle_alpha 90.00
_cell_angle_beta 90.00
_cell_angle_gamma 90.00
loop_
_symmetry_equiv_pos_as_xyz
'x,y,z'
'-x,-y,z+1/2'
'-x,y,z'
'x,-y,z+1/2'
'x+1/2,y+1/2,z'
'-x+1/2,-y+1/2,z+1/2'
'-x+1/2,y+1/2,z'
'x+1/2,-y+1/2,z+1/2'
loop_
_atom_site_label
_atom_site_type_symbol
_atom_site_fract_x
_atom_site_fract_y
_atom_site_fract_z
_atom_site_occupancy
Er1 Er 0.000 0.055 0.000 1
Er2 Er 0.000 0.132 0.711 1
Er3 Er 0.000 0.146 0.287 1
Er4 Er 0.000 0.292 0.928 1
Er5 Er 0.000 0.296 0.067 1
Er6 Er 0.000 0.405 0.630 1
Er7 Er 0.000 0.427 0.355 1
C1 C 0.000 0.325 0.535 1
S1 S 0.000 0.052 0.603 1
S2 S 0.000 0.064 0.395 1
S3 S 0.000 0.214 0.819 1
S4 S 0.000 0.227 0.176 1
S5 S 0.000 0.490 0.746 1
# * ρ: 8.19 g/cm³
# * raw formation energy: -1494 meV/atom

Record 2
# BaZn (PBE-GGA, optimized geometry)
data_BaZn
_symmetry_space_group_name_H-M 'P -6 m 2'
_symmetry_Int_Tables_number 187
_symmetry_space_group_name_Hall 'P -6 2'
_cell_length_a 4.5732
_cell_length_b 4.5732
_cell_length_c 4.4173
_cell_angle_alpha 90.00
_cell_angle_beta 90.00
_cell_angle_gamma 120.00
loop_
_atom_site_label
_atom_site_type_symbol
_atom_site_fract_x
_atom_site_fract_y
_atom_site_fract_z
_atom_site_occupancy
Ba1 Ba 0.0000 0.0000 0.0000 1
Zn1 Zn 0.6667 0.3333 0.5000 1
# * ρ: 4.21 g/cm³
# * energy: -1.635 eV/atom

Respective magnetic moment values: 0.00; 0.00 Bohr magnetons per cell.